# AgHgHAu2 | Alexandria | PBE | relaxed
# Total magnetic moment (μB per atom): 0.000
# Total energy (eV/atom): -2.40
data_AgHgHAu2
_chemical_formula_sum 'Ag1 Hg1 H1 Au2'
_symmetry_space_group_name_H-M 'P 4/m m m'
_symmetry_Int_Tables_number 123
_symmetry_space_group_name_Hall '-P 4 2'
_cell_length_a 4.239
_cell_length_b 4.239
_cell_length_c 4.402
_cell_angle_alpha 90.00
_cell_angle_beta 90.00
_cell_angle_gamma 90.00
loop_
_atom_site_label
_atom_site_fract_x
_atom_site_fract_y
_atom_site_fract_z
_atom_site_occupancy
Ag1 0.000 0.000 0.000 1
Hg1 0.500 0.500 0.000 1
H1 0.000 0.000 0.500 1
Au1 0.000 0.500 0.500 1